Entry from Alexandria: Pm3MgTc after structural relaxation (PBE).

Cell: 5.433 5.433 5.433 Å, 90.00 90.00 90.00°
Space group Pm-3m (No. 221)
Unique sites:
Pm: 0.000 0.000 0.500 (multiplicity 3)
Mg: 0.500 0.500 0.500 (multiplicity 1)
Tc: 0.000 0.000 0.000 (multiplicity 1)

Computed properties:
For the total magnetic moment, the calculation gives 0.00 μB per cell. Its density is 5.8 g/cm³. Its density of states at the Fermi level is 4.05 states/eV/cell. The formation energy from the elements is 14.42 kJ per mole of atoms.